(1)
VASP calculation (PBE) on crystalline NiMo2Pt at its relaxed geometry.

Unit cell a=5.971 b=4.847 c=2.691 alpha=89.88 beta=63.43 gamma=119.45
Fractional positions:
Ni (0.000, 0.500, 0.500)
Mo (0.000, 0.000, 0.000)
Mo (0.500, 0.000, 0.500)
Pt (0.500, 0.500, 0.000)

distance to the lowest polymorph of the same formula	0.069	eV per atom
ΔE_f	-0.12	eV per atom
ρ	12.729	g cm⁻³
size of the total moment	0.00	μB/cell
calculated total energy	-8.49	eV per atom



(2)
VASP calculation (PBE) on crystalline Ni3MoPt2 at its relaxed geometry.

Unit cell a=3.880 b=6.131 c=7.577 alpha=71.13 beta=75.17 gamma=71.55
Fractional positions:
Ni (0.710, 0.970, 0.610)
Ni (0.051, 0.289, 0.609)
Ni (0.379, 0.629, 0.614)
Ni (0.621, 0.371, 0.386)
Ni (0.949, 0.711, 0.391)
Ni (0.290, 0.030, 0.390)
Mo (0.133, 0.880, 0.855)
Mo (0.867, 0.120, 0.145)
Pt (0.468, 0.204, 0.859)
Pt (0.532, 0.796, 0.141)
Pt (0.205, 0.447, 0.143)
Pt (0.795, 0.553, 0.857)

distance to the lowest polymorph of the same formula	0.000	eV per atom
ΔE_f	-0.14	eV per atom
ρ	13.795	g cm⁻³
size of the total moment	0.00	μB/cell
calculated total energy	-6.84	eV per atom



(3)
VASP calculation (PBE) on crystalline Ni2MoPt6 at its relaxed geometry.

Unit cell a=3.864 b=4.762 c=8.261 alpha=73.43 beta=76.47 gamma=66.06
Fractional positions:
Ni (0.341, 0.603, 0.714)
Ni (0.659, 0.397, 0.286)
Mo (0.000, 0.500, 0.500)
Pt (0.668, 0.720, 0.944)
Pt (0.332, 0.280, 0.056)
Pt (0.998, 0.825, 0.178)
Pt (0.334, 0.938, 0.394)
Pt (0.002, 0.175, 0.822)
Pt (0.666, 0.062, 0.606)

distance to the lowest polymorph of the same formula	0.000	eV per atom
ΔE_f	-0.19	eV per atom
ρ	17.412	g cm⁻³
size of the total moment	0.00	μB/cell
calculated total energy	-6.70	eV per atom



(4)
VASP calculation (PBE) on crystalline Ni2MoPt9 at its relaxed geometry.

Unit cell a=3.921 b=3.921 c=11.701 alpha=90.00 beta=90.00 gamma=90.00
Last column: magnetic moment on the atom in μB.
Fractional positions:
Ni (0.000, 0.000, 0.340)  0.78
Ni (0.000, 0.000, 0.660)  0.78
Mo (0.000, 0.000, 0.000)  -0.07
Pt (0.500, 0.500, 0.000)  0.07
Pt (0.500, 0.500, 0.334)  0.24
Pt (0.500, 0.500, 0.666)  0.24
Pt (0.500, 0.000, 0.167)  0.10
Pt (0.500, 0.000, 0.500)  0.28
Pt (0.500, 0.000, 0.833)  0.10
Pt (0.000, 0.500, 0.167)  0.10
Pt (0.000, 0.500, 0.500)  0.28
Pt (0.000, 0.500, 0.833)  0.10

ΔE_f	-0.14	eV per atom
ρ	18.180	g cm⁻³
size of the total moment	2.94	μB/cell
calculated total energy	-6.54	eV per atom



(5)
VASP calculation (PBE) on crystalline NiMo2Pt at its relaxed geometry.

Unit cell a=4.366 b=4.366 c=4.366 alpha=60.00 beta=60.00 gamma=60.00
Fractional positions:
Mo (0.000, 0.000, 0.000)
Mo (0.250, 0.250, 0.250)
Ni (0.500, 0.500, 0.500)
Pt (0.750, 0.750, 0.750)

distance to the lowest polymorph of the same formula	0.231	eV per atom
ΔE_f	0.04	eV per atom
ρ	12.578	g cm⁻³
size of the total moment	0.00	μB/cell
calculated total energy	-8.33	eV per atom



(6)
VASP calculation (PBE) on crystalline NiMoPt6 at its relaxed geometry.

Unit cell a=3.904 b=4.830 c=7.342 alpha=77.06 beta=74.58 gamma=66.17
Last column: magnetic moment on the atom in μB.
Fractional positions:
Ni (0.000, 0.500, 0.500)  0.42
Mo (0.000, 0.000, 0.000)  -0.01
Pt (0.252, 0.872, 0.623)  0.08
Pt (0.502, 0.245, 0.752)  0.03
Pt (0.250, 0.374, 0.125)  0.03
Pt (0.498, 0.755, 0.248)  0.03
Pt (0.748, 0.128, 0.377)  0.08
Pt (0.750, 0.626, 0.875)  0.03

distance to the lowest polymorph of the same formula	0.000	eV per atom
ΔE_f	-0.20	eV per atom
ρ	18.186	g cm⁻³
size of the total moment	0.67	μB/cell
calculated total energy	-6.81	eV per atom



(7)
VASP calculation (PBE) on crystalline Ni8MoPt6 at its relaxed geometry.

Unit cell a=7.194 b=7.194 c=6.147 alpha=54.19 beta=54.19 gamma=60.00
Last column: magnetic moment on the atom in μB.
Fractional positions:
Ni (0.613, 0.137, 0.296)  0.17
Ni (0.863, 0.046, 0.704)  0.17
Ni (0.046, 0.387, 0.704)  0.17
Ni (0.766, 0.766, 0.701)  0.48
Ni (0.234, 0.234, 0.299)  0.48
Ni (0.954, 0.613, 0.296)  0.17
Ni (0.137, 0.954, 0.296)  0.17
Ni (0.387, 0.863, 0.704)  0.17
Mo (0.000, 0.000, 0.000)  -0.08
Pt (0.426, 0.172, 0.777)  0.10
Pt (0.828, 0.375, 0.223)  0.10
Pt (0.375, 0.574, 0.223)  0.10
Pt (0.625, 0.426, 0.777)  0.10
Pt (0.172, 0.625, 0.777)  0.10
Pt (0.574, 0.828, 0.223)  0.10

ΔE_f	0.09	eV per atom
ρ	14.192	g cm⁻³
size of the total moment	2.40	μB/cell
calculated total energy	-6.13	eV per atom



(8)
VASP calculation (PBE) on crystalline Ni2MoPt4 at its relaxed geometry.

Unit cell a=5.181 b=5.181 c=4.646 alpha=90.94 beta=90.94 gamma=119.52
Last column: magnetic moment on the atom in μB.
Fractional positions:
Ni (0.567, 0.567, 0.252)  0.27
Ni (0.433, 0.433, 0.748)  0.27
Mo (0.000, 0.000, 0.000)  0.06
Pt (0.843, 0.157, 0.500)  0.00
Pt (0.157, 0.843, 0.500)  0.00
Pt (0.500, 0.000, 0.000)  0.02
Pt (0.000, 0.500, 0.000)  0.02

distance to the lowest polymorph of the same formula	0.023	eV per atom
ΔE_f	0.14	eV per atom
ρ	15.211	g cm⁻³
size of the total moment	0.63	μB/cell
calculated total energy	-6.51	eV per atom



(9)
VASP calculation (PBE) on crystalline Ni5MoPt2 at its relaxed geometry.

Unit cell a=3.929 b=5.975 c=10.007 alpha=90.00 beta=90.00 gamma=109.20
Last column: magnetic moment on the atom in μB.
Fractional positions:
Ni (0.861, 0.723, 0.867)  0.27
Ni (0.861, 0.723, 0.633)  0.27
Ni (0.313, 0.627, 0.514)  0.35
Ni (0.313, 0.627, 0.986)  0.35
Ni (0.548, 0.096, 0.250)  0.39
Ni (0.452, 0.904, 0.750)  0.39
Ni (0.687, 0.373, 0.486)  0.35
Ni (0.687, 0.373, 0.014)  0.35
Ni (0.139, 0.277, 0.133)  0.27
Ni (0.139, 0.277, 0.367)  0.27
Mo (0.678, 0.355, 0.750)  -0.07
Mo (0.322, 0.645, 0.250)  -0.07
Pt (0.917, 0.835, 0.387)  0.04
Pt (0.917, 0.835, 0.113)  0.04
Pt (0.083, 0.165, 0.613)  0.04
Pt (0.083, 0.165, 0.887)  0.04

distance to the lowest polymorph of the same formula	0.066	eV per atom
ΔE_f	0.12	eV per atom
ρ	11.669	g cm⁻³
size of the total moment	3.13	μB/cell
calculated total energy	-6.36	eV per atom



(10)
VASP calculation (PBE) on crystalline Ni2Mo3Pt4 at its relaxed geometry.

Unit cell a=3.831 b=4.773 c=8.297 alpha=72.60 beta=76.65 gamma=66.33
Fractional positions:
Ni (0.340, 0.099, 0.222)
Ni (0.660, 0.901, 0.778)
Mo (0.325, 0.790, 0.560)
Mo (0.000, 0.000, 0.000)
Mo (0.675, 0.210, 0.440)
Pt (0.669, 0.551, 0.110)
Pt (0.005, 0.320, 0.670)
Pt (0.995, 0.680, 0.330)
Pt (0.331, 0.449, 0.890)

ΔE_f	-0.23	eV per atom
ρ	14.967	g cm⁻³
size of the total moment	0.00	μB/cell
calculated total energy	-7.81	eV per atom



(11)
VASP calculation (PBE) on crystalline NiMo2Pt at its relaxed geometry.

Unit cell a=3.221 b=3.221 c=5.666 alpha=90.00 beta=90.00 gamma=90.00
Fractional positions:
Mo (0.000, 0.000, 0.004)
Mo (0.500, 0.500, 0.269)
Ni (0.000, 0.000, 0.492)
Pt (0.500, 0.500, 0.734)

distance to the lowest polymorph of the same formula	0.145	eV per atom
ΔE_f	-0.04	eV per atom
ρ	12.587	g cm⁻³
size of the total moment	0.00	μB/cell
calculated total energy	-8.42	eV per atom



(12)
VASP calculation (PBE) on crystalline NiMo2Pt at its relaxed geometry.

Unit cell a=2.712 b=2.712 c=7.936 alpha=90.00 beta=90.00 gamma=89.91
Fractional positions:
Ni (0.000, 0.000, 0.496)
Mo (0.000, 0.000, 0.990)
Mo (0.500, 0.500, 0.275)
Pt (0.500, 0.500, 0.739)

distance to the lowest polymorph of the same formula	0.091	eV per atom
ΔE_f	-0.10	eV per atom
ρ	12.674	g cm⁻³
size of the total moment	0.00	μB/cell
calculated total energy	-8.47	eV per atom